1.
A crystal of LaErO3 relaxed with PBEsol. Source: Alexandria via LeMat-Bulk, functional meta-GGA SCAN.

POSCAR file:
```
LaErO3
1.0
6.0046 0.0000 0.0000
0.0000 8.3854 0.0000
0.0000 0.0000 5.8071
La Er O
4 4 12
Cartesian
0.3024 2.0963 0.0944
2.6999 6.2890 2.9980
3.3048 2.0963 2.8092
5.7022 6.2890 5.7127
0.0000 0.0000 2.9036
0.0000 4.1927 2.9036
3.0023 0.0000 0.0000
3.0023 4.1927 0.0000
0.3375 6.2890 2.1674
1.1747 4.7624 4.6812
1.1747 7.8156 4.6812
1.8276 0.5697 1.7777
1.8276 3.6229 1.7777
2.6648 2.0963 5.0709
3.3398 6.2890 0.7362
4.1770 4.7624 4.0295
4.1770 7.8156 4.0295
4.8299 0.5697 1.1259
4.8299 3.6229 1.1259
5.6671 2.0963 3.6398
```

Computed properties:
- total DFT energy (no corrections) (eV/atom) = -26.295

2.
A crystal of V2CuH3O7 relaxed with PBEsol. Source: Alexandria via LeMat-Bulk, functional meta-GGA SCAN.

POSCAR file:
```
V2CuH3O7
1.0
5.1822 0.0000 0.0000
-1.2433 5.1839 0.0000
-1.8020 -2.5250 9.6725
V Cu H O
4 2 6 14
Cartesian
-0.9009 1.3537 3.2097
0.5797 4.3375 2.7913
1.5572 -1.6786 6.8811
3.0378 1.3052 6.4628
-0.9010 -1.2625 4.8362
-0.6217 2.5920 0.0000
0.9524 0.4212 0.4658
0.2473 0.8844 5.8448
-0.0205 -1.1760 9.1632
2.1573 3.8349 0.5093
1.8896 1.7745 3.8276
1.1845 2.2377 9.2067
-1.7113 0.9815 7.9914
-0.6371 0.6490 5.4500
-1.3225 3.1035 6.3659
-0.9286 -1.3116 9.5564
-0.0062 2.9413 3.6542
0.7719 0.5095 3.0632
0.5847 3.9704 1.1708
1.5521 -1.3115 8.5017
1.3650 2.1495 6.6093
2.1431 -0.2823 6.0182
3.0654 3.9706 0.1161
3.4594 -0.4446 3.3065
2.7740 2.0099 4.2224
3.8482 1.6774 1.6811
```

Computed properties:
- total DFT energy (no corrections) (eV/atom) = -9.793

3.
A crystal of ReOs relaxed with PBEsol. Source: Alexandria via LeMat-Bulk, functional meta-GGA SCAN.

POSCAR file:
```
ReOs
1.0
4.9709 -1.3697 0.0000
4.9709 1.3697 0.0000
-1.5320 0.0000 6.2633
Re Os
3 3
Cartesian
0.0000 0.0000 0.0000
-0.3750 0.0000 3.8487
3.4062 0.0000 1.7642
2.2773 0.0000 4.1919
6.1159 0.0000 2.0969
5.7344 0.0000 5.9225
```

Computed properties:
- relative energy among the computed polymorphs (meV/atom) = 18
- total DFT energy (no corrections) (eV/atom) = -71.585
- calculated formation energy (eV/atom) = -0.096

Size of the total moment for every record listed, in sequence, given in μB per formula unit: 0.00 0.76 0.00.
Density for every record listed, in sequence, given in g cm⁻³: 8.0 3.6 22.0.